A plane-wave DFT calculation with PBE was carried out for an optimized crystal structure of BePtBr3.

magnetization: 0.860 Bohr magnetons per cell
E above lowest polymorph: 98 meV/atom

Lattice parameters (Å, degrees): 5.1553 5.1553 5.1553 90.00 90.00 90.00
Closest atoms and distances in Å follow each position.
Fractional positions:
Be (0.0000, 0.0000, 0.0000)  12 Br 3.65
Pt (0.5000, 0.5000, 0.5000)  6 Br 2.58
Br (0.0000, 0.5000, 0.5000)  2 Pt 2.58
Br (0.5000, 0.0000, 0.5000)  2 Pt 2.58
Br (0.5000, 0.5000, 0.0000)  2 Pt 2.58